# 1
A plane-wave DFT calculation with meta-GGA SCAN was carried out for a crystal of TiSi2N2 relaxed with PBEsol.

Calculated values
The total energy comes out at -115.07 eV/cell. The energy relative to the elements, uncorrected comes out at -0.578 eV per atom.

Cell: 3.3205 5.8634 5.8634 Å, 90.00 90.00 90.00°
Positions (direct):
Ti  0.0000  0.5000  0.5000
N  0.0000  0.2099  0.7099
Si  0.5000  0.8593  0.3593
N  0.0000  0.7099  0.7901
N  0.0000  0.2901  0.2099
Si  0.5000  0.3593  0.1407
N  0.0000  0.7901  0.2901
Si  0.5000  0.6407  0.8593
Si  0.5000  0.1407  0.6407
Ti  0.0000  0.0000  0.0000

---

# 2
A plane-wave DFT calculation with meta-GGA SCAN was carried out for a crystal of ZrAl2Se relaxed with PBEsol.

Calculated values
The total energy comes out at -67.50 eV/cell. The energy relative to the elements, uncorrected comes out at -0.304 eV per atom.

Cell: 3.2508 5.0026 5.0026 Å, 115.48 90.00 90.00°
Positions (direct):
Se  0.5000  0.0000  0.0000
Al  0.0000  0.0000  0.5000
Al  0.0000  0.5000  0.0000
Zr  0.5000  0.5000  0.5000

---

# 3
A plane-wave DFT calculation with meta-GGA SCAN was carried out for a crystal of TeWCl9 relaxed with PBEsol.

Calculated values
The total energy comes out at -374.74 eV/cell. The energy relative to the elements, uncorrected comes out at -0.785 eV per atom.

Cell: 6.4159 9.3060 11.4215 Å, 71.03 71.72 86.81°
Positions (direct):
Cl  0.3202  0.8740  0.1562
Cl  0.0600  0.6174  0.8267
Cl  0.5200  0.3063  0.0932
Cl  0.4530  0.5032  0.2944
Cl  0.2421  0.1484  0.3989
Cl  0.6505  0.2339  0.4854
Cl  0.4800  0.6937  0.9068
Cl  0.2628  0.9646  0.7152
Cl  0.7372  0.0354  0.2848
Cl  0.9034  0.6223  0.3736
Te  0.8592  0.3434  0.8365
Cl  0.9400  0.3826  0.1733
Cl  0.0966  0.3777  0.6264
W  0.4146  0.7429  0.7030
Cl  0.6798  0.1260  0.8438
Cl  0.5470  0.4968  0.7056
Cl  0.1031  0.2018  0.9385
W  0.5854  0.2571  0.2970
Cl  0.8969  0.7982  0.0615
Te  0.1408  0.6566  0.1635
Cl  0.7579  0.8516  0.6011
Cl  0.3495  0.7661  0.5146

---

# 4
A plane-wave DFT calculation with meta-GGA SCAN was carried out for a crystal of SiSbH3 relaxed with PBEsol.

Calculated values
The total energy comes out at -53.83 eV/cell. The polymorph energy (0 for the lowest one) is 0.00 eV per formula unit.

Cell: 3.6743 3.6743 3.6743 Å, 90.00 90.00 90.00°
Positions (direct):
H  0.5000  0.0000  0.0000
H  0.0000  0.0000  0.5000
H  0.0000  0.5000  0.0000
Si  0.0000  0.0000  0.0000
Sb  0.5000  0.5000  0.5000

---

# 5
A plane-wave DFT calculation with meta-GGA SCAN was carried out for a crystal of ZrBeSb2 relaxed with PBEsol.

Calculated values
The total energy comes out at -109.56 eV/cell. The energy relative to the elements, uncorrected comes out at 0.004 eV per atom.

Cell: 3.5783 4.8915 5.4426 Å, 116.70 109.19 90.00°
Positions (direct):
Sb  0.7477  0.2477  0.4955
Zr  0.5281  0.5281  0.0561
Be  0.2613  0.7613  0.5226
Sb  0.9629  0.9629  0.9258

---

# 6
A plane-wave DFT calculation with meta-GGA SCAN was carried out for a crystal of ReW4 relaxed with PBEsol.

Calculated values
The total energy comes out at -349.79 eV/cell. The calculation puts the formation energy from the elements at 0.06 eV per formula unit. The polymorph energy (0 for the lowest one) is 0.00 eV per formula unit.

Cell: 3.1351 5.2068 5.2068 Å, 84.80 72.48 72.48°
Positions (direct):
W  0.6021  0.5972  0.1985
W  0.3979  0.4028  0.8015
W  0.8006  0.8015  0.5972
W  0.1994  0.1985  0.4028
Re  0.0000  0.0000  0.0000

---

# 7
A plane-wave DFT calculation with meta-GGA SCAN was carried out for a crystal of In2CuRu relaxed with PBEsol.

Calculated values
The total energy comes out at -115.74 eV/cell. The calculation puts the formation energy from the elements at 1.06 eV per formula unit.

Cell: 3.0402 3.0402 8.6410 Å, 79.87 79.87 60.00°
Positions (direct):
Ru  0.5000  0.5000  0.5000
In  0.7502  0.7502  0.7494
In  0.2498  0.2498  0.2506
Cu  0.0000  0.0000  0.0000

---

# 8
A plane-wave DFT calculation with meta-GGA SCAN was carried out for a crystal of SrMn2Tl relaxed with PBEsol.

Calculated values
The total energy comes out at -130.90 eV/cell. The calculation puts the formation energy from the elements at 0.25 eV per formula unit. The polymorph energy (0 for the lowest one) is 0.00 eV per formula unit.

Cell: 3.3818 3.3818 7.6208 Å, 90.00 90.00 90.00°
Positions (direct):
Mn  0.5000  0.5000  0.1858
Mn  0.0000  0.0000  0.0251
Sr  0.0000  0.0000  0.4824
Tl  0.5000  0.5000  0.8067

---

# 9
A plane-wave DFT calculation with meta-GGA SCAN was carried out for a crystal of Cs2KTl2 relaxed with PBEsol.

Calculated values
The total energy comes out at -228.75 eV/cell. The calculation puts the formation energy from the elements at -0.08 eV per formula unit. The polymorph energy (0 for the lowest one) is 0.36 eV per formula unit.

Cell: 4.4834 4.4834 14.5512 Å, 98.86 98.86 90.00°
Positions (direct):
Cs  0.3649  0.3649  0.7298
Tl  0.7500  0.2500  0.5000
Cs  0.6351  0.6351  0.2702
Tl  0.2500  0.7500  0.5000
K  0.0000  0.0000  0.0000

---

# 10
A plane-wave DFT calculation with meta-GGA SCAN was carried out for a crystal of YScS2Cl relaxed with PBEsol.

Calculated values
The total energy comes out at -77.33 eV/cell. The energy relative to the elements, uncorrected comes out at -1.603 eV per atom.

Cell: 4.6427 4.8632 4.8632 Å, 90.00 90.00 90.00°
Positions (direct):
Y  0.5000  0.5000  0.5000
Sc  0.0000  0.0000  0.0000
S  0.0000  0.5000  0.0000
S  0.0000  0.0000  0.5000
Cl  0.5000  0.0000  0.0000

---

# 11
A plane-wave DFT calculation with meta-GGA SCAN was carried out for a crystal of CdOs3O relaxed with PBEsol.

Calculated values
The total energy comes out at -246.87 eV/cell. The energy relative to the elements, uncorrected comes out at 1.083 eV per atom.

Cell: 4.1047 4.1047 4.1047 Å, 90.00 90.00 90.00°
Positions (direct):
Os  0.5000  0.0000  0.0000
Cd  0.5000  0.5000  0.5000
Os  0.0000  0.0000  0.5000
Os  0.0000  0.5000  0.0000
O  0.0000  0.0000  0.0000

---

# 12
A plane-wave DFT calculation with meta-GGA SCAN was carried out for a crystal of NaLiRe2Ir relaxed with PBEsol.

Calculated values
The total energy comes out at -211.87 eV/cell. The calculation puts the formation energy from the elements at 8.03 eV per formula unit.

Cell: 3.8217 4.2615 4.2615 Å, 90.00 90.00 90.00°
Positions (direct):
Re  0.0000  0.5000  0.0000
Li  0.0000  0.0000  0.0000
Na  0.5000  0.0000  0.0000
Ir  0.5000  0.5000  0.5000
Re  0.0000  0.0000  0.5000

---

# 13
A plane-wave DFT calculation with meta-GGA SCAN was carried out for a crystal of Ta3In2Se6 relaxed with PBEsol.

Calculated values
The total energy comes out at -394.63 eV/cell. The energy relative to the elements, uncorrected comes out at -0.694 eV per atom.

Cell: 3.4265 3.4265 23.8037 Å, 90.00 90.00 120.00°
Positions (direct):
Se  0.3333  0.6667  0.7164
Ta  0.0000  0.0000  0.6458
In  0.0000  0.0000  0.1790
In  0.0000  0.0000  0.8210
Ta  0.0000  0.0000  0.3542
Se  0.3333  0.6667  0.5763
Se  0.3333  0.6667  0.0703
Se  0.3333  0.6667  0.9297
Se  0.3333  0.6667  0.2836
Se  0.3333  0.6667  0.4237
Ta  0.0000  0.0000  0.0000

---

# 14
A plane-wave DFT calculation with meta-GGA SCAN was carried out for a crystal of Mo2IrRh relaxed with PBEsol.

Calculated values
The total energy comes out at -173.42 eV/cell. The calculation puts the formation energy from the elements at 1.22 eV per formula unit. The polymorph energy (0 for the lowest one) is 2.47 eV per formula unit.

Cell: 4.3758 4.3758 4.3758 Å, 60.00 60.00 60.00°
Positions (direct):
Mo  0.2500  0.2500  0.2500
Ir  0.0000  0.0000  0.0000
Mo  0.7500  0.7500  0.7500
Rh  0.5000  0.5000  0.5000

---

# 15
A plane-wave DFT calculation with meta-GGA SCAN was carried out for a crystal of KCd2Bi2 relaxed with PBEsol.

Calculated values
The total energy comes out at -227.54 eV/cell. The calculation puts the formation energy from the elements at -1.22 eV per formula unit.

Cell: 4.6060 4.6060 8.0086 Å, 106.71 106.71 90.00°
Positions (direct):
Bi  0.3810  0.3810  0.7619
K  0.0000  0.0000  0.0000
Cd  0.7500  0.2500  0.5000
Bi  0.6190  0.6190  0.2381
Cd  0.2500  0.7500  0.5000

---

# 16
A plane-wave DFT calculation with meta-GGA SCAN was carried out for a crystal of Li24Au5 relaxed with PBEsol.

Calculated values
The total energy comes out at -410.48 eV/cell. The calculation puts the formation energy from the elements at -7.34 eV per formula unit.

Cell: 8.3699 8.3699 8.3699 Å, 109.47 109.47 109.47°
Positions (direct):
Li  0.3566  0.3566  0.1729
Li  0.1729  0.3566  0.3566
Au  0.0000  0.3668  0.0000
Li  0.4049  0.7097  0.4049
Li  0.8163  0.6434  0.0000
Li  0.6952  0.2903  0.6952
Li  0.6434  0.0000  0.8163
Li  0.1837  0.8271  0.1837
Li  0.0000  0.8163  0.6434
Li  0.2903  0.6952  0.6952
Li  0.0000  0.6434  0.8163
Au  0.0000  0.0000  0.3668
Au  0.6332  0.6332  0.6332
Li  0.3048  0.0000  0.5951
Li  0.0000  0.3048  0.5951
Li  0.8163  0.0000  0.6434
Li  0.4049  0.4049  0.7097
Li  0.3566  0.1729  0.3566
Li  0.6434  0.8163  0.0000
Li  0.5951  0.0000  0.3048
Au  0.3668  0.0000  0.0000
Li  0.5951  0.3048  0.0000
Li  0.3048  0.5951  0.0000
Li  0.1837  0.1837  0.8271
Li  0.8271  0.1837  0.1837
Li  0.6952  0.6952  0.2903
Au  0.0000  0.0000  0.0000
Li  0.7097  0.4049  0.4049
Li  0.0000  0.5951  0.3048

---

# 17
A plane-wave DFT calculation with meta-GGA SCAN was carried out for a crystal of CrSb2TeI relaxed with PBEsol.

Calculated values
The total energy comes out at -164.86 eV/cell. The energy relative to the elements, uncorrected comes out at 0.407 eV per atom. The polymorph energy (0 for the lowest one) is 0.11 eV per formula unit.

Cell: 5.0176 5.1521 5.1521 Å, 90.00 90.00 90.00°
Positions (direct):
Sb  0.0000  0.0000  0.5000
Te  0.5000  0.5000  0.5000
Cr  0.0000  0.0000  0.0000
Sb  0.0000  0.5000  0.0000
I  0.5000  0.0000  0.0000

---

# 18
A plane-wave DFT calculation with meta-GGA SCAN was carried out for a crystal of Tl3GaRe relaxed with PBEsol.

Calculated values
The total energy comes out at -297.18 eV/cell. The calculation puts the formation energy from the elements at 7.34 eV per formula unit.

Cell: 5.1954 5.1954 5.1954 Å, 90.00 90.00 90.00°
Positions (direct):
Ga  0.0000  0.0000  0.0000
Tl  0.0000  0.0000  0.5000
Tl  0.0000  0.5000  0.0000
Re  0.5000  0.5000  0.5000
Tl  0.5000  0.0000  0.0000

---

# 19
A plane-wave DFT calculation with meta-GGA SCAN was carried out for a crystal of Ba2Sn2Bi relaxed with PBEsol.

Calculated values
The total energy comes out at -230.08 eV/cell. The calculation puts the formation energy from the elements at -0.55 eV per formula unit. The polymorph energy (0 for the lowest one) is 3.12 eV per formula unit.

Cell: 5.8881 5.8881 7.3084 Å, 113.76 113.76 90.00°
Positions (direct):
Ba  0.2500  0.7500  0.5000
Sn  0.3918  0.3918  0.7835
Ba  0.7500  0.2500  0.5000
Bi  0.0000  0.0000  0.0000
Sn  0.6082  0.6082  0.2165

---

# 20
A plane-wave DFT calculation with meta-GGA SCAN was carried out for a crystal of ZnFeNi2 relaxed with PBEsol.

Calculated values
The total energy comes out at -64.43 eV/cell. The calculation puts the formation energy from the elements at -0.44 eV per formula unit.

Cell: 2.5164 4.2904 4.3762 Å, 100.11 106.71 90.00°
Positions (direct):
Ni  0.2534  0.7404  0.5068
Ni  0.9985  0.0152  0.9970
Zn  0.5026  0.5161  0.0052
Fe  0.7455  0.2283  0.4910

---

no.,magnetization (Bohr magnetons per cell),DOS(E_F) (states/eV/atom)
1,0.0,0.3026
2,0.0,0.4839
3,2.0,0.1404
4,0.0,0.2461
5,0.0,0.6890
6,0.0,0.6139
7,0.0,0.6196
8,7.9,0.6868
9,0.0,0.6666
10,0.0,0.5172
11,0.0,0.9468
12,1.9,1.0462
13,0.0,0.3895
14,0.0,1.7021
15,0.0,0.3762
16,0.0,0.3735
17,2.5,0.7518
18,3.9,0.5214
19,0.0,1.1156
20,3.8,0.5332